Nb2HOsRh: relaxed, PBE.

Cell: 4.1614 4.1614 3.8512 Å, 90.00 90.00 90.00°
Closest atoms and distances in Å follow each position.
Fractional coordinates of all 5 atoms:
Rh: 0.5000 0.5000 0.5000  8 Nb 2.83, 4 Os 2.94
H: 0.0000 0.0000 0.0000  2 Os 1.93, 4 Nb 2.08
Nb: 0.5000 0.0000 0.0000  2 H 2.08
Nb: 0.0000 0.5000 0.0000  2 H 2.08
Os: 0.0000 0.0000 0.5000  2 H 1.93

crystal system = tetragonal
polymorph energy (0 for the lowest one) = 1.8 kJ per mole of atoms
SG = P4/mmm, No. 123
N(E_F) = 4.2 states/eV per cell
total DFT energy (no corrections) = -8.621 eV per atom

VSe2Br: relaxed, PBE.

Cell: 13.1728 13.1728 13.1728 Å, 12.86 12.86 12.86°
Closest atoms and distances in Å follow each position.
Fractional coordinates of all 4 atoms:
V: 0.0000 0.0000 0.0000  2 Se 2.44
Se: 0.0622 0.0622 0.0622  1 V 2.44
Se: 0.9378 0.9378 0.9378  1 V 2.44
Br: 0.5000 0.5000 0.5000  6 Br 2.95

crystal system = trigonal
raw formation energy = 0.4127 eV per atom
polymorph energy (0 for the lowest one) = 80.5 kJ per mole of atoms
SG = R-3m, No. 166
N(E_F) = 5.9 states/eV per cell
total DFT energy (no corrections) = -4.027 eV per atom

CdRe2Au: relaxed, PBE.

Cell: 2.9552 2.9552 7.9650 Å, 90.00 90.00 90.00°
Closest atoms and distances in Å follow each position.
Fractional coordinates of all 4 atoms:
Au: 0.0000 0.0000 0.4862  4 Au 2.96, 4 Re 2.97, 4 Cd 3.02
Re: 0.0000 0.0000 0.0335  4 Re 2.57
Re: 0.5000 0.5000 0.2210  4 Re 2.57
Cd: 0.5000 0.5000 0.7593  4 Cd 2.96, 4 Au 3.02, 4 Re 3.02

energy of formation = 0.237 eV/atom
crystal system = tetragonal
SG = P4mm, No. 99
N(E_F) = 2.8 states/eV per cell
total DFT energy (no corrections) = -7.036 eV per atom

NaSrHgP: relaxed, PBE.

Cell: 5.2637 5.2637 5.2637 Å, 60.00 60.00 60.00°
Closest atoms and distances in Å follow each position.
Fractional coordinates of all 4 atoms:
Na: 0.5000 0.5000 0.5000  4 Hg 3.22, 4 P 3.22
Sr: 0.0000 0.0000 0.0000  4 P 3.22, 4 Hg 3.22
P: 0.2500 0.2500 0.2500  4 Na 3.22, 4 Sr 3.22
Hg: 0.7500 0.7500 0.7500  4 Sr 3.22, 4 Na 3.22

energy of formation = -0.544 eV/atom
crystal system = cubic
SG = F-43m, No. 216
total DFT energy (no corrections) = -2.722 eV per atom

TbGeAu4: relaxed, PBE.

Cell: 5.5872 5.5872 5.5872 Å, 60.00 60.00 60.00°
Closest atoms and distances in Å follow each position.
Fractional coordinates of all 6 atoms:
Au: 0.1248 0.6251 0.6251  6 Au 2.79
Au: 0.6251 0.6251 0.1248  6 Au 2.79
Au: 0.6251 0.6251 0.6251  6 Au 2.79
Au: 0.6251 0.1248 0.6251  6 Au 2.79
Tb: 0.2500 0.2500 0.2500  12 Au 3.28, 4 Ge 3.42
Ge: 0.0000 0.0000 0.0000  12 Au 3.28, 4 Tb 3.42

energy of formation = -0.315 eV/atom
crystal system = cubic
SG = F-43m, No. 216
N(E_F) = 3.3 states/eV per cell
total DFT energy (no corrections) = -4.041 eV per atom

MnTl5Se4: relaxed, PBE.

Cell: 8.9263 7.9573 9.7000 Å, 90.00 90.00 90.00°
Closest atoms and distances in Å follow each position.
Fractional coordinates of all 20 atoms:
Se: 0.0000 0.0706 0.2162  1 Mn 2.46
Se: 0.7564 0.3763 0.0000  1 Mn 2.46
Se: 0.2564 0.6237 0.5000  1 Mn 2.46
Se: 0.5000 0.9294 0.2838  1 Mn 2.46
Se: 0.5000 0.9294 0.7163  1 Mn 2.46
Se: 0.0000 0.0706 0.7837  1 Mn 2.46
Se: 0.7436 0.6237 0.5000  1 Mn 2.46
Se: 0.2436 0.3763 0.0000  1 Mn 2.46
Tl: 0.2212 0.7374 0.1932  3 Se 3.05-3.31
Tl: 0.7788 0.7374 0.1932  3 Se 3.05-3.31
Tl: 0.2788 0.2626 0.3068  3 Se 3.05-3.31
Tl: 0.7212 0.2626 0.3068  3 Se 3.05-3.31
Tl: 0.0000 0.8839 0.5000  4 Se 3.09-3.13
Tl: 0.7788 0.7374 0.8068  3 Se 3.05-3.31
Tl: 0.5000 0.1161 0.0000  4 Se 3.09-3.13
Tl: 0.2212 0.7374 0.8068  3 Se 3.05-3.31
Tl: 0.7212 0.2626 0.6932  3 Se 3.05-3.31
Tl: 0.2788 0.2626 0.6932  3 Se 3.05-3.31
Mn: 0.5000 0.7676 0.5000  4 Se 2.46
Mn: 0.0000 0.2324 0.0000  4 Se 2.46

crystal system = orthorhombic
raw formation energy = -0.3490 eV per atom
SG = Pmmn, No. 59
N(E_F) = 5.9 states/eV per cell
total DFT energy (no corrections) = -3.843 eV per atom